Density functional theory data (PBE) for a geometry-optimized Ta12Nb6Tc structure.

- D(E_F) (states/eV/f.u.) = 16.7
- SG = R-3, No. 148
- formation enthalpy at 0 K (eV per atom) = 0.13
- size of the total moment (Bohr magnetons per cell) = 0.00
- energy (eV per atom) = -11.08

a b c (Å): 7.092 7.092 7.092
angles (deg): 88.27 88.27 88.27
Sites, in units of the cell vectors:
Ta1 0.018 0.309 0.922
Ta2 0.078 0.982 0.691
Ta3 0.120 0.350 0.442
Ta4 0.309 0.922 0.018
Ta5 0.350 0.442 0.120
Ta6 0.442 0.120 0.350
Ta7 0.558 0.880 0.650
Ta8 0.650 0.558 0.880
Ta9 0.691 0.078 0.982
Ta10 0.880 0.650 0.558
Ta11 0.922 0.018 0.309
Ta12 0.982 0.691 0.078
Nb1 0.234 0.760 0.387
Nb2 0.240 0.613 0.766
Nb3 0.387 0.234 0.760
Nb4 0.613 0.766 0.240
Nb5 0.760 0.387 0.234
Nb6 0.766 0.240 0.613
Tc1 0.500 0.500 0.500